Entry 1:
Material: Tm3ZnIr2
Method: DFT, GGA-PBE
State: optimized geometry

Properties
Size of the total moment (μB/cell): 0.0
E_tot (eV per atom): -6.175
Formation energy (eV per atom): -0.774

Structure (CIF):
```
data_Tm3ZnIr2
_symmetry_space_group_name_H-M 'P -3 m 1'
_symmetry_Int_Tables_number 164
_symmetry_space_group_name_Hall '-P 3 2"'
_cell_length_a 4.8263
_cell_length_b 4.8263
_cell_length_c 11.8849
_cell_angle_alpha 90.00
_cell_angle_beta 90.00
_cell_angle_gamma 120.00
loop_
_atom_site_label
_atom_site_fract_x
_atom_site_fract_y
_atom_site_fract_z
Tm1 0.0000 0.0000 0.2436
Tm2 0.3333 0.6667 0.4164
Tm3 0.3333 0.6667 0.9213
Zn1 0.3333 0.6667 0.6674
Ir1 0.0000 0.0000 0.0000
Ir2 0.0000 0.0000 0.5000
Ir3 0.3333 0.6667 0.1697
```

***

Entry 2:
Material: Tm8ZnIr2
Method: DFT, GGA-PBE
State: optimized geometry

Properties
Size of the total moment (μB/cell): 0.0
E_tot (eV per atom): -5.377
Energy above the lowest structure with this stoichiometry (meV/atom): 69
Formation energy (eV per atom): -0.398

Structure (CIF):
```
data_Tm8ZnIr2
_symmetry_space_group_name_H-M 'C 1 m 1'
_symmetry_Int_Tables_number 8
_symmetry_space_group_name_Hall 'C -2y'
_cell_length_a 8.540
_cell_length_b 12.859
_cell_length_c 5.426
_cell_angle_alpha 90.00
_cell_angle_beta 104.22
_cell_angle_gamma 90.00
loop_
_atom_site_label
_atom_site_fract_x
_atom_site_fract_y
_atom_site_fract_z
Tm1 0.000 0.000 0.000
Tm2 0.076 0.369 0.783
Tm3 0.177 0.131 0.607
Tm4 0.251 0.500 0.390
Tm5 0.377 0.241 0.195
Zn1 0.376 0.000 0.196
Ir1 0.376 0.312 0.695
```

***

Entry 3:
Material: Tm6ZnIr5
Method: DFT, GGA-PBE
State: optimized geometry

Properties
Size of the total moment (μB/cell): 0.0
E_tot (eV per atom): -6.874
Formation energy (eV per atom): -0.840

Structure (CIF):
```
data_Tm6ZnIr5
_symmetry_space_group_name_H-M 'C m m m'
_symmetry_Int_Tables_number 65
_symmetry_space_group_name_Hall '-C 2 2'
_cell_length_a 4.725
_cell_length_b 14.200
_cell_length_c 7.030
_cell_angle_alpha 90.00
_cell_angle_beta 90.00
_cell_angle_gamma 90.00
loop_
_atom_site_label
_atom_site_fract_x
_atom_site_fract_y
_atom_site_fract_z
Tm1 0.000 0.000 0.243
Tm2 0.000 0.331 0.248
Zn1 0.000 0.500 0.500
Ir1 0.000 0.162 0.500
Ir2 0.000 0.168 0.000
Ir3 0.000 0.500 0.000
```

***

Entry 4:
Material: Tm4ZnIr2
Method: DFT, GGA-PBE
State: optimized geometry

Properties
Size of the total moment (μB/cell): 0.0
E_tot (eV per atom): -5.985
Energy above the lowest structure with this stoichiometry (meV/atom): 0
Formation energy (eV per atom): -0.716

Structure (CIF):
```
data_Tm4ZnIr2
_symmetry_space_group_name_H-M 'R -3 m'
_symmetry_Int_Tables_number 166
_symmetry_space_group_name_Hall '-R 3 2"'
_cell_length_a 4.8070
_cell_length_b 4.8070
_cell_length_c 23.3980
_cell_angle_alpha 90.00
_cell_angle_beta 90.00
_cell_angle_gamma 120.00
loop_
_atom_site_label
_atom_site_fract_x
_atom_site_fract_y
_atom_site_fract_z
Tm1 0.0000 0.0000 0.1207
Tm2 0.0000 0.0000 0.3719
Zn1 0.0000 0.0000 0.5000
Ir1 0.0000 0.0000 0.2481
```

***

Entry 5:
Material: TmZn4Ir2
Method: DFT, GGA-PBE
State: optimized geometry

Properties
Size of the total moment (μB/cell): 0.0
E_tot (eV per atom): -4.286
Formation energy (eV per atom): -0.388

Structure (CIF):
```
data_TmZn4Ir2
_symmetry_space_group_name_H-M 'P 42/m n m'
_symmetry_Int_Tables_number 136
_symmetry_space_group_name_Hall '-P 4n 2n'
_cell_length_a 7.557
_cell_length_b 7.557
_cell_length_c 4.125
_cell_angle_alpha 90.00
_cell_angle_beta 90.00
_cell_angle_gamma 90.00
loop_
_atom_site_label
_atom_site_fract_x
_atom_site_fract_y
_atom_site_fract_z
Tm1 0.000 0.000 0.000
Zn1 0.097 0.350 0.500
Ir1 0.212 0.788 0.500
```

***

Entry 6:
Material: Tm4Zn3Ir
Method: DFT, GGA-PBE
State: optimized geometry

Properties
Size of the total moment (μB/cell): 0.0
E_tot (eV per atom): -4.339
Formation energy (eV per atom): -0.517

Structure (CIF):
```
data_Tm4Zn3Ir
_symmetry_space_group_name_H-M 'P 4/m m m'
_symmetry_Int_Tables_number 123
_symmetry_space_group_name_Hall '-P 4 2'
_cell_length_a 3.495
_cell_length_b 3.495
_cell_length_c 13.891
_cell_angle_alpha 90.00
_cell_angle_beta 90.00
_cell_angle_gamma 90.00
loop_
_atom_site_label
_atom_site_fract_x
_atom_site_fract_y
_atom_site_fract_z
Tm1 0.000 0.000 0.114
Tm2 0.000 0.000 0.372
Zn1 0.500 0.500 0.248
Zn2 0.500 0.500 0.500
Ir1 0.500 0.500 0.000
```

***

Entry 7:
Material: Tm4ZnIr
Method: DFT, GGA-PBE
State: optimized geometry

Properties
Size of the total moment (μB/cell): 0.0
E_tot (eV per atom): -5.193
Energy above the lowest structure with this stoichiometry (meV/atom): 0
Formation energy (eV per atom): -0.523

Structure (CIF):
```
data_Tm4ZnIr
_symmetry_space_group_name_H-M 'F -4 3 m'
_symmetry_Int_Tables_number 216
_symmetry_space_group_name_Hall 'F -4 2 3'
_cell_length_a 13.243
_cell_length_b 13.243
_cell_length_c 13.243
_cell_angle_alpha 90.00
_cell_angle_beta 90.00
_cell_angle_gamma 90.00
loop_
_atom_site_label
_atom_site_fract_x
_atom_site_fract_y
_atom_site_fract_z
Tm1 0.000 0.000 0.187
Tm2 0.058 0.250 0.750
Tm3 0.104 0.104 0.396
Zn1 0.171 0.171 0.171
Ir1 0.107 0.107 0.607
```

***

Entry 8:
Material: TmZn4Ir
Method: DFT, GGA-PBE
State: optimized geometry

Properties
Size of the total moment (μB/cell): 0.0
E_tot (eV per atom): -3.508
Formation energy (eV per atom): -0.436

Structure (CIF):
```
data_TmZn4Ir
_symmetry_space_group_name_H-M 'F -4 3 m'
_symmetry_Int_Tables_number 216
_symmetry_space_group_name_Hall 'F -4 2 3'
_cell_length_a 7.183
_cell_length_b 7.183
_cell_length_c 7.183
_cell_angle_alpha 90.00
_cell_angle_beta 90.00
_cell_angle_gamma 90.00
loop_
_atom_site_label
_atom_site_fract_x
_atom_site_fract_y
_atom_site_fract_z
Tm1 0.000 0.000 0.000
Zn1 0.124 0.124 0.624
Ir1 0.250 0.250 0.250
```